The following is a DFT calculation (PBE with a Hubbard U) of crystalline Li2VF6 at its relaxed geometry.

Cell and atoms, written as POSCAR:
```
Li2VF6
1.0
2.8009 -8.3531 0.0000
2.8009 8.3531 0.0000
0.0000 0.0000 5.5786
Li V F
4 2 12
direct
0.1459 0.8541 0.7500
0.1499 0.8501 0.2500
0.8501 0.1499 0.7500
0.8541 0.1459 0.2500
0.3731 0.6269 0.7500
0.6269 0.3731 0.2500
0.1122 0.3762 0.5184
0.1122 0.3762 0.9816
0.2618 0.7382 0.7500
0.3762 0.1122 0.0184
0.3762 0.1122 0.4816
0.4788 0.5212 0.7500
0.5212 0.4788 0.2500
0.6238 0.8878 0.5184
0.6238 0.8878 0.9816
0.7382 0.2618 0.2500
0.8878 0.6238 0.0184
0.8878 0.6238 0.4816
```

Properties
Space-group type = Cmcm, No. 63
Total magnetization = 2.00 μB per cell
E above lowest polymorph = 66 meV per atom